11
Lattice="3.780 0.000 0.000 0.000 8.834 0.000 -1.890 -4.417 8.727" Properties=species:S:1:pos:R:3 comment="PBE-GGA Tb3Pm4Ge4, relaxed" energy_ev_per_cell=-58.1 magnetic_moment_mub_per_atom=0.000 formation_enthalpy_0k_ev_per_fu=-6.7 pbc="T T T"
Ge 1.890 1.976 0.000
Ge 1.890 0.000 3.887
Ge 1.890 6.857 0.000
Ge 0.000 4.417 4.840
Tb 1.890 4.417 7.084
Tb 0.000 0.000 1.644
Tb 0.000 4.417 0.000
Pm 1.890 5.960 2.968
Pm 1.890 2.874 2.968
Pm 0.000 1.543 5.759
Pm 0.000 -1.543 5.759